The following is a GGA-PBE calculation of a geometry-optimized TmThI2 structure, from Alexandria.

Unit cell a=11.165 b=11.165 c=11.165 alpha=19.67 beta=19.67 gamma=19.67
Fractional positions:
Tm (0.000, 0.000, 0.000)
Th (0.500, 0.500, 0.500)
I (0.094, 0.094, 0.094)
I (0.906, 0.906, 0.906)

Output
ρ = 7.887 g/cm3
Raw formation energy = -524.5 meV per atom